No. 1
CdSi2Br: optimized geometry, PBE.

POSCAR file:
```
CdSi2Br
1.0
0.000 3.470 3.470
3.470 0.000 3.470
3.470 3.470 0.000
Si Br Cd
2 1 1
Cartesian
1.735 1.735 1.735
5.204 5.204 5.204
0.000 0.000 0.000
3.470 3.470 3.470
```

Calculated values
M_tot = 0.0 μB/f.u.
space group = Fm-3m (225)
ΔE to the lowest computed polymorph = 716 meV per atom
energy relative to the elements, uncorrected = 0.74 eV per atom

No. 2
SrCuSb2: optimized geometry, PBE.

POSCAR file:
```
SrCuSb2
1.0
5.501 0.006 0.786
3.840 3.939 0.786
2.979 1.258 5.880
Cu Sb Sr
1 2 1
Cartesian
3.080 1.301 1.863
9.075 3.832 2.156
6.427 2.714 3.141
9.240 3.902 5.589
```

Calculated values
M_tot = 0.0 μB/f.u.
space group = C2/m (12)
energy relative to the elements, uncorrected = -0.31 eV per atom

No. 3
AlTl2Sb: optimized geometry, PBE.

POSCAR file:
```
AlTl2Sb
1.0
4.372 0.000 0.000
0.000 3.433 -0.047
0.000 1.934 7.521
Sb Tl Al
1 2 1
Cartesian
2.186 3.390 5.401
0.000 5.157 7.417
2.186 1.565 2.217
0.000 3.305 3.649
```

Calculated values
M_tot = 0.0 μB/f.u.
space group = Pm (6)
ΔE to the lowest computed polymorph = 29 meV per atom
energy relative to the elements, uncorrected = 0.11 eV per atom

Question: What is the energy relative to the elements, uncorrected in the first record?
Answer: 0.74 eV per atom

Question: What is the M_tot in the third record?
Answer: 0.0 μB/f.u.